# 1
# La3CdHg4

A relaxed La3CdHg4 crystal (PBE, Alexandria via LeMat-Bulk).

Cell and atoms, written as POSCAR:
```
La3CdHg4
1.0
5.1188 0.0000 1.5110
2.3364 4.5545 1.5110
-0.0920 -0.0562 9.7374
Hg Cd La
4 1 3
Cartesian
6.4606 3.9469 6.3912
2.7300 1.6678 9.6034
0.9026 0.5514 6.3682
4.6332 2.8305 3.1560
0.0000 0.0000 0.0000
3.6816 2.2491 6.3797
1.9231 1.1749 2.9109
5.4401 3.3234 9.8484
```

Output
space-group type = No. 166
formation energy = -44 kJ per mole of atoms
total DFT energy (no corrections) = -20.58 eV for the cell shown



# 2
# La6CdHg

A relaxed La6CdHg crystal (PBE, Alexandria via LeMat-Bulk).

Cell and atoms, written as POSCAR:
```
La6CdHg
1.0
5.1929 0.0006 1.5623
-0.4712 5.1710 1.5641
-0.1412 -0.1533 9.8650
Hg La Cd
1 6 1
Cartesian
0.0000 0.0000 0.0000
3.0112 0.4563 8.7992
0.1791 3.0415 8.8001
1.5694 4.5619 4.1922
4.4014 1.9768 4.1913
1.1142 1.2209 5.7004
3.4663 3.7973 7.2911
2.3609 2.5858 1.5632
```

Output
space-group type = No. 139
offset from the most stable computed form = 0.0 kJ per mole of atoms
formation energy = -20 kJ per mole of atoms
total DFT energy (no corrections) = -32.43 eV for the cell shown



# 3
# LaCdHg3

A relaxed LaCdHg3 crystal (PBE, Alexandria via LeMat-Bulk).

Cell and atoms, written as POSCAR:
```
LaCdHg3
1.0
4.9238 -0.6881 1.5091
0.6675 5.2490 0.2147
-0.2968 -0.3552 9.6895
Hg La Cd
6 2 2
Cartesian
3.6818 3.8376 5.0487
4.7004 0.8628 9.2995
2.5620 3.8329 8.7293
3.8771 1.2126 3.2904
0.9008 1.5558 4.1796
1.7346 4.1835 2.6505
1.9787 1.5616 0.6881
0.6566 4.1776 6.1416
4.7843 3.8395 1.5273
2.7749 1.2106 6.8138
```

Output
space-group type = No. 11
offset from the most stable computed form = 0.0 kJ per mole of atoms
formation energy = -34 kJ per mole of atoms
total DFT energy (no corrections) = -17.03 eV for the cell shown



# 4
# La3Cd2Hg

A relaxed La3Cd2Hg crystal (PBE, Alexandria via LeMat-Bulk).

Cell and atoms, written as POSCAR:
```
La3Cd2Hg
1.0
-0.8701 -2.2414 3.1185
-3.7698 -2.7220 -3.0083
7.7021 -4.1287 -0.8184
La Cd Hg
3 2 1
Cartesian
1.4712 -2.9196 0.7982
1.5910 -6.1725 -1.5063
-2.3200 -2.4817 0.0551
0.1104 -3.2440 -2.3008
3.8219 -3.6067 -1.5259
0.0000 0.0000 0.0000
```

Output
space-group type = No. 65
offset from the most stable computed form = 0.0 kJ per mole of atoms
formation energy = -37 kJ per mole of atoms
total DFT energy (no corrections) = -19.24 eV for the cell shown



# 5
# La2CdHg3

A relaxed La2CdHg3 crystal (PBE, Alexandria via LeMat-Bulk).

Cell and atoms, written as POSCAR:
```
La2CdHg3
1.0
-0.3946 4.5819 -4.1893
-3.8820 -4.6132 -1.5323
-4.2698 3.8241 7.6297
Hg La Cd
6 4 2
Cartesian
-4.0731 -1.6441 -1.4057
-6.3890 2.5106 0.3025
-4.4733 5.4368 3.3138
-6.1931 0.9023 4.6241
-2.1574 1.2822 1.6055
-2.3533 2.8904 -2.7160
-3.4013 4.1952 0.2898
-5.1451 -0.4024 1.6183
-3.2392 -0.0237 -4.3336
-1.0375 -0.0076 -1.3880
-4.2756 2.5411 3.1819
-4.2708 1.2517 -1.2738
```

Output
space-group type = No. 69
offset from the most stable computed form = 0.0 kJ per mole of atoms
formation energy = -45 kJ per mole of atoms
total DFT energy (no corrections) = -28.96 eV for the cell shown



# 6
# LaCd9Hg2

A relaxed LaCd9Hg2 crystal (PBE, Alexandria via LeMat-Bulk).

Cell and atoms, written as POSCAR:
```
LaCd9Hg2
1.0
3.3705 0.0000 0.0000
0.0000 9.9629 0.0000
0.0000 -4.9815 8.6282
Cd La Hg
9 1 2
Cartesian
0.0000 -2.4907 4.3141
0.0000 4.9815 0.0000
1.6852 -2.3294 7.0970
1.6852 2.6521 1.5312
1.6852 4.9815 5.5658
0.0000 2.4907 4.3141
1.6852 7.3108 1.5312
1.6852 0.0000 3.0624
1.6852 2.3294 7.0970
0.0000 0.0000 0.0000
0.0000 0.0000 5.7521
0.0000 4.9815 2.8760
```

Output
space-group type = No. 191
formation energy = -7 kJ per mole of atoms
total DFT energy (no corrections) = -14.69 eV for the cell shown



# 7
# La3Cd2Hg

A relaxed La3Cd2Hg crystal (PBE, Alexandria via LeMat-Bulk).

Cell and atoms, written as POSCAR:
```
La3Cd2Hg
1.0
-0.5077 3.3593 1.9804
-3.8811 -0.2414 -0.5854
-1.1321 -6.0721 10.0099
La Cd Hg
3 2 1
Cartesian
0.0000 0.0000 0.0000
-0.3795 -2.0357 3.3558
-0.7526 -4.0365 6.6541
-3.1390 -3.5078 9.0499
-2.3819 0.5534 2.3550
-2.7605 -1.4772 5.7024
```

Output
space-group type = No. 123
offset from the most stable computed form = 0.2 kJ per mole of atoms
formation energy = -37 kJ per mole of atoms
total DFT energy (no corrections) = -19.23 eV for the cell shown



# 8
# LaCd2Hg

A relaxed LaCd2Hg crystal (PBE, Alexandria via LeMat-Bulk).

Cell and atoms, written as POSCAR:
```
LaCd2Hg
1.0
-6.9796 -6.8808 0.7936
-5.2956 -7.9459 -2.3471
-3.9083 -8.9732 0.9476
Cd Hg La
2 1 1
Cartesian
-16.0376 -23.5853 -0.6004
-8.2377 -12.1145 -0.3084
-4.0459 -5.9500 -0.1515
-12.1377 -17.8499 -0.4544
```

Output
space-group type = No. 166
formation energy = -7 kJ per mole of atoms
total DFT energy (no corrections) = -7.37 eV for the cell shown



# 9
# LaCdHg

A relaxed LaCdHg crystal (PBE, Alexandria via LeMat-Bulk).

Cell and atoms, written as POSCAR:
```
LaCdHg
1.0
-0.6979 -4.9711 -0.7198
3.9882 -3.1304 -0.1119
0.7813 -3.2487 3.8148
Cd Hg La
1 1 1
Cartesian
2.0357 -5.6751 1.4916
1.0179 -2.8376 0.7458
0.0000 0.0000 0.0000
```

Output
space-group type = No. 216
formation energy = -30 kJ per mole of atoms
total DFT energy (no corrections) = -7.09 eV for the cell shown



# 10
# La3CdHg

A relaxed La3CdHg crystal (PBE, Alexandria via LeMat-Bulk).

Cell and atoms, written as POSCAR:
```
La3CdHg
1.0
-0.4653 -0.7268 -7.5404
9.7772 -1.4706 -0.4627
3.9168 -9.0680 0.6313
La Cd Hg
12 4 4
Cartesian
11.1982 -9.3750 0.2103
2.0304 -1.8904 -7.5821
7.2656 -3.1067 -3.9677
11.6984 -8.7884 -3.6967
5.9631 -8.1587 -3.4041
4.1186 -4.4698 -3.6418
4.6198 -3.8819 -7.5490
9.1260 -3.9965 -0.1809
4.1027 -7.2689 -7.1909
1.5303 -2.4770 -3.6751
9.1101 -6.7956 -3.7300
8.6089 -7.3835 0.1772
4.7433 -0.9631 -2.5900
8.4854 -10.3023 -4.7818
1.5807 -5.1249 -5.8133
11.6479 -6.1405 -1.5586
3.8015 -9.2483 -1.2540
6.7294 -5.4526 -1.8005
6.4993 -5.8128 -5.5713
9.4271 -2.0171 -6.1178
```

Output
space-group type = No. 69
offset from the most stable computed form = 3.1 kJ per mole of atoms
formation energy = -28 kJ per mole of atoms
total DFT energy (no corrections) = -69.83 eV for the cell shown



# 11
# La5CdHg

A relaxed La5CdHg crystal (PBE, Alexandria via LeMat-Bulk).

Cell and atoms, written as POSCAR:
```
La5CdHg
1.0
0.5030 5.8607 1.7871
-5.3619 -0.2532 2.9968
4.1583 -1.6544 11.7988
La Hg Cd
10 2 2
Cartesian
1.0497 -1.0976 11.6493
0.0486 1.1695 14.3282
1.3162 2.1750 5.2661
-0.4453 3.6491 8.1018
-4.2890 -0.6321 5.9397
-1.7502 5.0507 4.9334
-2.0168 1.7781 11.3167
-0.7492 2.7836 2.2546
3.5885 4.5852 10.6431
-0.2552 0.3040 8.4809
2.0792 -0.8272 5.8994
0.0000 0.0000 0.0000
-2.0030 1.7510 5.4681
1.3024 2.2021 11.1146
```

Output
space-group type = No. 15
formation energy = -11 kJ per mole of atoms
total DFT energy (no corrections) = -53.37 eV for the cell shown



# 12
# LaCd6Hg8

A relaxed LaCd6Hg8 crystal (PBE, Alexandria via LeMat-Bulk).

Cell and atoms, written as POSCAR:
```
LaCd6Hg8
1.0
-5.5980 -4.9215 -0.4781
-2.1800 -1.0095 7.0722
-6.1725 4.1566 0.6406
Hg Cd La
8 6 1
Cartesian
-6.2069 -3.0246 6.0198
-6.3296 -3.9844 2.6574
-3.0869 -0.3926 1.6009
-10.8635 -1.3817 5.6337
-7.6208 2.2100 4.5772
-8.8475 -2.0695 1.1622
-5.1030 0.2951 6.0724
-7.7435 1.2502 1.2148
-8.5832 -2.9381 4.2980
-4.4395 -1.6998 4.0233
-8.0182 -0.3086 6.0324
-5.3673 1.1637 2.9366
-9.5109 -0.0746 3.2113
-5.9323 -1.4658 1.2023
0.0000 0.0000 0.0000
```

Output
space-group type = No. 148
formation energy = -6 kJ per mole of atoms
total DFT energy (no corrections) = -13.70 eV for the cell shown



# 13
# LaCd2Hg

A relaxed LaCd2Hg crystal (PBE, Alexandria via LeMat-Bulk).

Cell and atoms, written as POSCAR:
```
LaCd2Hg
1.0
-2.5764 2.6189 0.7576
-1.1156 -0.0649 -3.5808
-4.9923 -5.3895 1.6530
La Cd Hg
1 2 1
Cartesian
-5.5902 -2.7651 -0.1719
-2.3368 -2.5227 0.7737
-0.1593 -0.1720 0.0528
-3.0941 -0.0704 -0.9983
```

Output
space-group type = No. 123
formation energy = -20 kJ per mole of atoms
total DFT energy (no corrections) = -7.89 eV for the cell shown



# 14
# La2Cd3Hg6

A relaxed La2Cd3Hg6 crystal (PBE, Alexandria via LeMat-Bulk).

Cell and atoms, written as POSCAR:
```
La2Cd3Hg6
1.0
4.0312 0.0000 0.0000
0.0000 8.9498 1.3412
0.0000 2.3155 8.7485
Cd Hg La
3 6 2
Cartesian
0.0000 2.7774 2.4876
2.0156 0.0000 0.0000
0.0000 8.4878 7.6021
2.0156 9.5014 4.3429
2.0156 5.9056 1.1223
2.0156 4.3900 3.9319
2.0156 5.3596 8.9673
2.0156 6.8752 6.1578
2.0156 1.7638 5.7468
0.0000 4.2339 6.6065
0.0000 7.0313 3.4832
```

Output
space-group type = No. 65
formation energy = -20 kJ per mole of atoms
total DFT energy (no corrections) = -16.72 eV for the cell shown



# 15
# LaCd2Hg

A relaxed LaCd2Hg crystal (PBE, Alexandria via LeMat-Bulk).

Cell and atoms, written as POSCAR:
```
LaCd2Hg
1.0
3.7261 0.0000 0.0000
0.0000 3.7261 0.0000
0.0000 0.0000 7.5556
Hg Cd La
1 2 1
Cartesian
0.0000 0.0000 3.5996
1.8631 1.8631 1.8646
0.0000 0.0000 0.2400
1.8631 1.8631 5.6292
```

Output
space-group type = No. 99
formation energy = -25 kJ per mole of atoms
total DFT energy (no corrections) = -8.08 eV for the cell shown



# 16
# LaCd5Hg2

A relaxed LaCd5Hg2 crystal (PBE, Alexandria via LeMat-Bulk).

Cell and atoms, written as POSCAR:
```
LaCd5Hg2
1.0
4.2911 0.0000 0.0000
2.1455 6.9387 -0.1817
2.1455 1.9143 6.6719
Hg Cd La
2 5 1
Cartesian
6.4366 6.8254 5.0037
2.1455 2.0277 1.4865
4.2911 4.6968 5.4286
2.1455 4.4265 3.2451
4.2911 4.1562 1.0616
4.2911 6.5902 2.8459
4.2911 2.2628 3.6443
0.0000 0.0000 0.0000
```

Output
space-group type = No. 71
formation energy = -18 kJ per mole of atoms
total DFT energy (no corrections) = -11.62 eV for the cell shown



# 17
# La8Cd2Hg

A relaxed La8Cd2Hg crystal (PBE, Alexandria via LeMat-Bulk).

Cell and atoms, written as POSCAR:
```
La8Cd2Hg
1.0
-1.4075 -5.1137 0.7963
3.0953 0.2466 7.0541
-8.3913 5.1204 -0.0114
La Cd Hg
8 2 1
Cartesian
2.0437 0.2760 5.3843
-2.6536 1.0740 2.2067
-0.7550 -1.4695 7.2900
-5.8243 2.2514 4.1629
-8.7473 -0.0227 2.4548
-0.8793 -1.9981 3.6762
-5.9486 1.7228 0.5491
-4.0500 -0.8207 5.6324
-5.5818 -0.8401 2.8003
-1.1218 1.0934 5.0388
-0.7037 -2.5568 0.3982
```

Output
space-group type = No. 12
offset from the most stable computed form = 1.8 kJ per mole of atoms
formation energy = -17 kJ per mole of atoms
total DFT energy (no corrections) = -43.49 eV for the cell shown



# 18
# LaCdHg

A relaxed LaCdHg crystal (PBE, Alexandria via LeMat-Bulk).

Cell and atoms, written as POSCAR:
```
LaCdHg
1.0
-5.7976 -0.1711 -2.9287
-5.9532 -1.4450 2.1655
5.4882 3.3310 1.0016
Cd Hg La
1 1 1
Cartesian
-0.1684 -0.0232 -0.0109
-7.7000 -1.0590 -0.5001
-3.8810 -0.5337 -0.2521
```

Output
space-group type = No. 107
formation energy = -31 kJ per mole of atoms
total DFT energy (no corrections) = -7.12 eV for the cell shown



# 19
# LaCdHg

A relaxed LaCdHg crystal (PBE, Alexandria via LeMat-Bulk).

Cell and atoms, written as POSCAR:
```
LaCdHg
1.0
-0.5337 2.8325 -2.5867
-2.7858 -2.6220 0.6028
-2.7242 4.0410 4.9871
La Hg Cd
1 1 1
Cartesian
-3.8375 1.8698 2.8393
-2.1413 2.2855 0.0452
-0.0649 0.0962 0.1187
```

Output
space-group type = No. 156
formation energy = -18 kJ per mole of atoms
total DFT energy (no corrections) = -6.71 eV for the cell shown



# 20
# La3CdHg

A relaxed La3CdHg crystal (PBE, Alexandria via LeMat-Bulk).

Cell and atoms, written as POSCAR:
```
La3CdHg
1.0
5.9527 0.0000 0.0000
0.0000 5.9527 0.0000
0.0000 0.0000 5.9527
Hg La Cd
1 3 1
Cartesian
0.0000 0.0000 0.0000
0.0000 0.0000 2.9763
2.9763 0.0000 0.0000
0.0000 2.9763 0.0000
2.9763 2.9763 2.9763
```

Output
space-group type = No. 221
offset from the most stable computed form = 51.8 kJ per mole of atoms
formation energy = 21 kJ per mole of atoms
total DFT energy (no corrections) = -14.93 eV for the cell shown